! ZnAg2Te PBEsol optimized geometry; values from VASP
&SYSTEM
  ibrav = 0, nat = 4, ntyp = 3
/
ATOMIC_SPECIES
Te 127.60 Te.upf
Ag 107.87 Ag.upf
Zn 65.41 Zn.upf
CELL_PARAMETERS angstrom
-0.019 -2.497 -1.700
0.893 -2.121 3.105
-6.357 -0.818 1.271
ATOMIC_POSITIONS angstrom
Te 0.437 -2.309 0.702
Ag -1.862 -0.240 0.372
Ag -4.495 -0.578 0.899
Zn -2.741 -2.718 1.338
! Mass density = 8.90 g cm⁻³
! Relative energy among the computed polymorphs = 48 meV/atom
! Energy relative to the elements, uncorrected = 99 meV per atom
! SG = Pmmm
! Raw total energy = -2.8335 eV per atom
! Density of states at the Fermi level = 1.10 states/eV/cell

---

! Cu2BiAsO6 PBEsol optimized geometry; values from VASP
&SYSTEM
  ibrav = 0, nat = 40, ntyp = 4
/
ATOMIC_SPECIES
Cu 63.55 Cu.upf
O 16.00 O.upf
Bi 208.98 Bi.upf
As 74.92 As.upf
CELL_PARAMETERS angstrom
-3.479 3.676 1.274
-0.770 -3.173 7.052
8.916 7.009 4.128
ATOMIC_POSITIONS angstrom
Cu 4.594 6.558 9.660
Cu 1.429 1.335 5.397
Cu 0.097 2.894 7.952
Cu -0.900 3.993 2.057
Cu 4.569 4.617 4.502
Cu 3.237 6.176 7.056
Cu 0.072 0.953 2.794
Cu 5.567 3.518 10.397
O -1.031 2.126 1.777
O -1.284 -0.876 4.364
O 0.173 0.998 8.493
O 1.482 6.560 6.464
O 2.349 2.841 3.564
O 1.419 0.056 3.923
O 3.185 0.951 5.990
O 5.698 5.385 10.677
O 2.900 1.499 8.939
O 6.165 4.747 3.349
O 1.767 6.012 3.515
O 7.426 3.560 10.044
O 6.787 6.263 5.813
O -0.253 1.822 4.535
O 3.248 7.456 8.531
O 2.317 4.670 8.890
O -2.759 3.951 2.409
O 4.493 6.513 3.961
O 3.210 4.735 5.831
O 4.920 5.690 7.919
O 1.457 2.776 6.623
O 5.951 8.387 8.089
O -1.498 2.764 9.105
O -2.121 1.249 6.641
Bi -0.967 -1.347 6.592
Bi 5.633 8.859 5.862
Bi 3.650 2.810 7.205
Bi 1.017 4.701 5.249
As 2.204 4.020 10.455
As 6.564 5.526 7.327
As -1.898 1.985 5.126
As 2.463 3.491 1.999
! Mass density = 6.88 g cm⁻³
! Energy relative to the elements, uncorrected = -982 meV per atom
! SG = Pnma
! Raw total energy = -5.9372 eV per atom
! Density of states at the Fermi level = 5.20 states/eV/cell

---

! YMg2Al PBEsol optimized geometry; values from VASP
&SYSTEM
  ibrav = 0, nat = 4, ntyp = 3
/
ATOMIC_SPECIES
Mg 24.30 Mg.upf
Al 26.98 Al.upf
Y 88.91 Y.upf
CELL_PARAMETERS angstrom
-2.398 0.949 2.082
-2.350 -2.457 -4.227
1.270 -4.249 3.400
ATOMIC_POSITIONS angstrom
Mg -0.844 -4.355 1.013
Mg 1.167 -4.271 3.291
Al -2.580 -1.528 0.362
Y -2.866 -3.960 -1.497
! Mass density = 2.94 g cm⁻³
! SG = Cm
! Raw total energy = -3.6190 eV per atom
! Density of states at the Fermi level = 2.44 states/eV/cell

---

! YBeP2 PBEsol optimized geometry; values from VASP
&SYSTEM
  ibrav = 0, nat = 4, ntyp = 3
/
ATOMIC_SPECIES
P 30.97 P.upf
Y 88.91 Y.upf
Be 9.01 Be.upf
CELL_PARAMETERS angstrom
3.732 0.000 0.000
0.000 3.732 0.000
-1.866 -1.866 4.627
ATOMIC_POSITIONS angstrom
P 1.866 0.000 2.313
P 0.000 0.000 0.000
Y 1.866 1.866 0.000
Be 0.000 1.866 2.313
! Mass density = 4.12 g cm⁻³
! SG = I-4m2
! Raw total energy = -5.9653 eV per atom
! Density of states at the Fermi level = 2.22 states/eV/cell